# 1
Computed, not measured: a relaxed structure of LiHoInPb at the PBE-GGA level of DFT.

Cell: 7.3711 7.3711 7.3711 Å, 90.00 90.00 90.00°
Closest atoms and distances in Å follow each position.
Space group F-43m (No. 216)
Asymmetric unit:
Li: 0.0000 0.0000 0.0000 [4 per cell]  4 In 3.19, 4 Pb 3.19
Ho: 0.0000 0.0000 0.5000 [4 per cell]  4 In 3.19, 4 Pb 3.19
In: 0.2500 0.2500 0.7500 [4 per cell]  4 Li 3.19, 4 Ho 3.19
Pb: 0.2500 0.2500 0.2500 [4 per cell]  4 Li 3.19, 4 Ho 3.19

Results
As for the formation enthalpy at 0 K: -320 meV/atom. As for the density of states at the Fermi level: 0.53 states/eV per atom.

=====

# 2
Computed, not measured: a relaxed structure of LiHoInPd at the PBE-GGA level of DFT.

Cell: 6.7792 6.7792 6.7792 Å, 90.00 90.00 90.00°
Closest atoms and distances in Å follow each position.
Space group F-43m (No. 216)
Asymmetric unit:
Li: 0.0000 0.0000 0.0000 [4 per cell]  4 In 2.94, 4 Ho 2.94
Ho: 0.2500 0.2500 0.7500 [4 per cell]  4 Li 2.94, 4 Pd 2.94
In: 0.2500 0.2500 0.2500 [4 per cell]  4 Li 2.94, 4 Pd 2.94
Pd: 0.0000 0.0000 0.5000 [4 per cell]  4 In 2.94, 4 Ho 2.94

Results
As for the formation enthalpy at 0 K: -615 meV/atom. As for the density of states at the Fermi level: 1.23 states/eV per atom.

=====

# 3
Computed, not measured: a relaxed structure of LiHoIn4Pd2 at the PBE-GGA level of DFT.

Cell: 4.6483 4.6483 26.3056 Å, 90.00 90.00 120.00°
Closest atoms and distances in Å follow each position.
Space group R-3m (No. 166, hexagonal axes)
Asymmetric unit:
Li: 0.0000 0.0000 0.0000 [3 per cell]  8 In 2.84-2.86
Ho: 0.0000 0.0000 0.5000 [3 per cell]  8 In 3.10-3.39
In: 0.0000 0.0000 0.1078 [6 per cell]  1 Li 2.84, 3 Pd 2.84, 3 Ho 3.10
In: 0.0000 0.0000 0.3712 [6 per cell]  4 Pd 2.83-2.90, 3 Li 2.86
Pd: 0.0000 0.0000 0.2611 [6 per cell]  7 In 2.83-2.90

Results
As for the formation enthalpy at 0 K: -460 meV/atom. As for the density of states at the Fermi level: 0.46 states/eV per atom.

=====

# 4
Computed, not measured: a relaxed structure of LiHoIn2Pd4 at the PBE-GGA level of DFT.

Cell: 4.6503 4.6503 22.8900 Å, 90.00 90.00 120.00°
Closest atoms and distances in Å follow each position.
Space group R-3m (No. 166, hexagonal axes)
Asymmetric unit:
Li: 0.0000 0.0000 0.0000 [3 per cell]  8 Pd 2.68-2.85
Ho: 0.0000 0.0000 0.5000 [3 per cell]  8 Pd 2.85-2.91
In: 0.0000 0.0000 0.2544 [6 per cell]  7 Pd 2.77-2.82
Pd: 0.0000 0.0000 0.1172 [6 per cell]  1 Li 2.68, 3 In 2.82, 3 Ho 2.91
Pd: 0.0000 0.0000 0.3755 [6 per cell]  4 In 2.77-2.81, 1 Ho 2.85, 3 Li 2.85

Results
As for the formation enthalpy at 0 K: -692 meV/atom. As for the density of states at the Fermi level: 0.38 states/eV per atom.

=====

# 5
Computed, not measured: a relaxed structure of LiPmHoIn at the PBE-GGA level of DFT.

Cell: 7.5377 7.5377 7.5377 Å, 90.00 90.00 90.00°
Closest atoms and distances in Å follow each position.
Space group F-43m (No. 216)
Asymmetric unit:
Li: 0.0000 0.0000 0.0000 [4 per cell]  4 Ho 3.26, 4 Pm 3.26
Pm: 0.2500 0.2500 0.2500 [4 per cell]  4 In 3.26, 4 Li 3.26
Ho: 0.2500 0.2500 0.7500 [4 per cell]  4 In 3.26, 4 Li 3.26
In: 0.0000 0.0000 0.5000 [4 per cell]  4 Ho 3.26, 4 Pm 3.26

Results
As for the formation enthalpy at 0 K: -263 meV/atom. As for the density of states at the Fermi level: 1.02 states/eV per atom.

=====

# 6
Computed, not measured: a relaxed structure of Li2PmHo2In2 at the PBE-GGA level of DFT.

Cell: 4.8897 4.8897 26.4172 Å, 90.00 90.00 120.00°
Closest atoms and distances in Å follow each position.
Space group R-3m (No. 166, hexagonal axes)
Asymmetric unit:
Li: 0.0000 0.0000 0.0980 [6 per cell]  3 In 2.83
Pm: 0.0000 0.0000 0.5000 [3 per cell]  6 Li 3.36, 2 Ho 3.40, 6 In 3.43
Ho: 0.0000 0.0000 0.3714 [6 per cell]  4 In 3.17-3.46, 3 Li 3.24, 1 Pm 3.40, 3 Ho 3.47
In: 0.0000 0.0000 0.2403 [6 per cell]  3 Li 2.83

Results
As for the formation enthalpy at 0 K: -230 meV/atom. As for the density of states at the Fermi level: 0.81 states/eV per atom.

=====

# 7
Computed, not measured: a relaxed structure of Li2Pr2HoIn2 at the PBE-GGA level of DFT.

Cell: 4.8966 4.8966 26.9562 Å, 90.00 90.00 120.00°
Closest atoms and distances in Å follow each position.
Space group R-3m (No. 166, hexagonal axes)
Asymmetric unit:
Li: 0.0000 0.0000 0.1110 [6 per cell]  3 In 2.84
Pr: 0.0000 0.0000 0.3727 [6 per cell]  3 In 3.27, 3 Li 3.42, 1 Ho 3.43, 3 Pr 3.54
Ho: 0.0000 0.0000 0.5000 [3 per cell]  6 Li 3.20, 6 In 3.34, 2 Pr 3.43
In: 0.0000 0.0000 0.2327 [6 per cell]  3 Li 2.84

Results
As for the formation enthalpy at 0 K: -243 meV/atom. As for the density of states at the Fermi level: 0.87 states/eV per atom.

=====

# 8
Computed, not measured: a relaxed structure of LiHoInPt at the PBE-GGA level of DFT.

Cell: 6.7603 6.7603 6.7603 Å, 90.00 90.00 90.00°
Closest atoms and distances in Å follow each position.
Space group F-43m (No. 216)
Asymmetric unit:
Li: 0.0000 0.0000 0.0000 [4 per cell]  4 In 2.93, 4 Ho 2.93
Ho: 0.2500 0.2500 0.2500 [4 per cell]  4 Li 2.93, 4 Pt 2.93
In: 0.2500 0.2500 0.7500 [4 per cell]  4 Li 2.93, 4 Pt 2.93
Pt: 0.0000 0.0000 0.5000 [4 per cell]  4 In 2.93, 4 Ho 2.93

Results
As for the formation enthalpy at 0 K: -775 meV/atom. As for the density of states at the Fermi level: 1.13 states/eV per atom.

=====

# 9
Computed, not measured: a relaxed structure of Li2HoInS4 at the PBE-GGA level of DFT.

Cell: 6.5926 3.8387 6.6095 Å, 90.00 109.61 90.00°
Closest atoms and distances in Å follow each position.
Space group P2/m (No. 10)
Asymmetric unit:
Li: 0.0000 0.0000 0.0000 [1 per cell]  6 S 2.66-2.69
Li: 0.0000 0.5000 0.5000 [1 per cell]  6 S 2.69-2.75
Ho: 0.5000 0.0000 0.5000 [1 per cell]  6 S 2.71-2.74
In: 0.5000 0.5000 0.0000 [1 per cell]  6 S 2.66-2.71
S: 0.2473 0.5000 0.2491 [2 per cell]  3 Li 2.69, 1 In 2.71, 2 Ho 2.71
S: 0.2542 0.0000 0.7616 [2 per cell]  3 Li 2.66-2.75, 2 In 2.66, 1 Ho 2.74

Results
The uncorrected formation energy is -130 kJ/mol of atoms.

=====

# 10
Computed, not measured: a relaxed structure of Li3Ho3InS8 at the PBE-GGA level of DFT.

Cell: 7.7721 7.7721 18.2412 Å, 90.00 90.00 120.00°
Closest atoms and distances in Å follow each position.
Space group R-3m (No. 166, hexagonal axes)
Asymmetric unit:
Li: 0.0000 0.5000 0.0000 [9 per cell]  6 S 2.69-2.71
Ho: 0.0000 0.5000 0.5000 [9 per cell]  6 S 2.71-2.73
In: 0.0000 0.0000 0.5000 [3 per cell]  6 S 2.66
S: 0.0000 0.0000 0.2501 [6 per cell]  3 Li 2.71, 3 Ho 2.71
S: 0.0092 0.5046 0.2498 [18 per cell]  1 In 2.66, 2 Li 2.69, 2 Ho 2.73

Results
The uncorrected formation energy is -144 kJ/mol of atoms. As for the density of states at the Fermi level: 0.61 states/eV per atom.

=====

# 11
Computed, not measured: a relaxed structure of LiHoSc2In4 at the PBE-GGA level of DFT.

Cell: 5.0408 5.0408 25.1674 Å, 90.00 90.00 120.00°
Closest atoms and distances in Å follow each position.
Space group R-3m (No. 166, hexagonal axes)
Asymmetric unit:
Li: 0.0000 0.0000 0.0000 [3 per cell]  8 In 3.03-3.07
Ho: 0.0000 0.0000 0.5000 [3 per cell]  8 In 3.13-3.23
Sc: 0.0000 0.0000 0.2520 [6 per cell]  8 In 3.02-3.31
In: 0.0000 0.0000 0.1205 [6 per cell]  1 Li 3.03, 4 Sc 3.07-3.31, 3 Ho 3.13
In: 0.0000 0.0000 0.3718 [6 per cell]  4 Sc 3.02-3.10, 3 Li 3.07, 1 Ho 3.23

Results
As for the formation enthalpy at 0 K: -389 meV/atom. As for the density of states at the Fermi level: 0.55 states/eV per atom.

=====

# 12
Computed, not measured: a relaxed structure of Li2HoSc2In2 at the PBE-GGA level of DFT.

Cell: 4.7290 4.7290 25.2853 Å, 90.00 90.00 120.00°
Closest atoms and distances in Å follow each position.
Space group R-3m (No. 166, hexagonal axes)
Asymmetric unit:
Li: 0.0000 0.0000 0.0880 [6 per cell]  3 In 2.73, 3 Sc 3.04
Ho: 0.0000 0.0000 0.5000 [3 per cell]  2 Sc 3.32, 6 In 3.35, 6 Li 3.38
Sc: 0.0000 0.0000 0.3686 [6 per cell]  3 Li 3.04, 4 In 3.06-3.17, 3 Sc 3.26, 1 Ho 3.32
In: 0.0000 0.0000 0.2432 [6 per cell]  3 Li 2.73

Results
As for the formation enthalpy at 0 K: -209 meV/atom. As for the density of states at the Fermi level: 0.77 states/eV per atom.